VASP calculation (PBE with a Hubbard U) on an optimized crystal structure of Rb2ScVO4.

The structure in POSCAR format:
```
Rb2ScVO4
1.0
5.560 0.000 0.000
2.780 6.329 0.000
2.780 0.000 10.469
O V Rb Sc
8 2 4 2
Direct
0.132 0.328 0.418
0.618 0.172 0.082
0.540 0.328 0.582
0.210 0.172 0.918
0.299 0.828 0.082
0.872 0.828 0.918
0.878 0.672 0.582
0.451 0.672 0.418
0.250 0.500 0.500
0.500 0.000 0.000
0.819 0.000 0.362
0.569 0.500 0.862
0.931 0.500 0.138
0.181 0.000 0.638
0.000 0.000 0.000
0.750 0.500 0.500
```

## Properties
volume	23.03	Å³/atom
raw total energy	-6.45	eV/atom